# 1
Ba2AlW | Alexandria via LeMat-Bulk | PBE | relaxed; DFT formation energy = 1066.5 meV/atom
1.0
4.053 -4.076 0.000
4.053 4.076 0.000
0.000 0.000 3.996
Ba Al W
2 1 1
Direct
0.000 0.500 0.000
0.500 0.000 0.000
0.000 0.000 0.500
0.500 0.500 0.500


# 2
NaSrAlIn | Alexandria via LeMat-Bulk | PBE | relaxed; DFT formation energy = -79.5 meV/atom
1.0
0.000 3.775 3.775
3.775 0.000 3.775
3.775 3.775 0.000
Na Sr Al In
1 1 1 1
Direct
0.000 0.000 0.000
0.750 0.750 0.750
0.500 0.500 0.500
0.250 0.250 0.250


# 3
Al2Pd2Pt | Alexandria via LeMat-Bulk | PBE | relaxed; DFT formation energy = -808.5 meV/atom
1.0
1.584 -8.162 0.000
1.584 8.162 0.000
0.000 0.000 2.947
Al Pd Pt
2 2 1
Direct
0.097 0.903 0.000
0.903 0.097 0.000
0.320 0.680 0.500
0.680 0.320 0.500
0.500 0.500 0.500


# 4
YFe3P3 | Alexandria via LeMat-Bulk | PBE | relaxed; DFT formation energy = -397.5 meV/atom
1.0
6.079 0.000 0.000
0.000 6.079 0.000
0.000 0.000 6.079
Y Fe P
2 6 6
Direct
0.000 0.000 0.000
0.500 0.500 0.500
0.000 0.250 0.500
0.000 0.750 0.500
0.250 0.500 0.000
0.500 0.000 0.250
0.500 0.000 0.750
0.750 0.500 0.000
0.000 0.500 0.250
0.000 0.500 0.750
0.250 0.000 0.500
0.500 0.250 0.000
0.500 0.750 0.000
0.750 0.000 0.500


# 5
FePdRu2 | Alexandria via LeMat-Bulk | PBE | relaxed; DFT formation energy = 1239.6 meV/atom
1.0
-2.818 2.818 4.794
2.818 -2.818 4.794
2.818 2.818 -4.794
Fe Pd Ru
2 2 4
Direct
0.000 0.000 0.000
0.750 0.250 0.500
0.250 0.750 0.500
0.500 0.500 0.000
0.087 0.625 0.962
0.375 0.337 0.462
0.663 0.125 0.038
0.875 0.913 0.538


# 6
YHf2Pd | Alexandria via LeMat-Bulk | PBE | relaxed; DFT formation energy = 63.3 meV/atom
1.0
0.000 3.475 3.475
3.475 0.000 3.475
3.475 3.475 0.000
Y Hf Pd
1 2 1
Direct
0.000 0.000 0.000
0.250 0.250 0.250
0.750 0.750 0.750
0.500 0.500 0.500


Copy entry 4 word for word.
YFe3P3 | Alexandria via LeMat-Bulk | PBE | relaxed; DFT formation energy = -397.5 meV/atom
1.0
6.079 0.000 0.000
0.000 6.079 0.000
0.000 0.000 6.079
Y Fe P
2 6 6
Direct
0.000 0.000 0.000
0.500 0.500 0.500
0.000 0.250 0.500
0.000 0.750 0.500
0.250 0.500 0.000
0.500 0.000 0.250
0.500 0.000 0.750
0.750 0.500 0.000
0.000 0.500 0.250
0.000 0.500 0.750
0.250 0.000 0.500
0.500 0.250 0.000
0.500 0.750 0.000
0.750 0.000 0.500


Please write out number 5 again, unchanged.
FePdRu2 | Alexandria via LeMat-Bulk | PBE | relaxed; DFT formation energy = 1239.6 meV/atom
1.0
-2.818 2.818 4.794
2.818 -2.818 4.794
2.818 2.818 -4.794
Fe Pd Ru
2 2 4
Direct
0.000 0.000 0.000
0.750 0.250 0.500
0.250 0.750 0.500
0.500 0.500 0.000
0.087 0.625 0.962
0.375 0.337 0.462
0.663 0.125 0.038
0.875 0.913 0.538


> Which formula does entry 2 have?

NaSrAlIn